# 1
# PAuSe

An optimized crystal structure of PAuSe (PBE, Alexandria via LeMat-Bulk).

Results
Uncorrected formation energy = 527 meV per atom
Fermi-level density of states = 0.2944 states/eV per atom
Total magnetic moment = 0.0 μB per formula unit
Crystal system = cubic
Final energy = -3.531 eV per atom

Geometry as CIF:
```
data_PAuSe
_cell_length_a 6.315
_cell_length_b 6.315
_cell_length_c 6.315
_cell_angle_alpha 90.00
_cell_angle_beta 90.00
_cell_angle_gamma 90.00
_space_group_name_H-M_alt 'F -4 3 m'
_space_group_IT_number 216
_space_group_name_Hall 'F -4 2 3'
loop_
_atom_site_label
_atom_site_type_symbol
_atom_site_fract_x
_atom_site_fract_y
_atom_site_fract_z
P1 P 0.000 0.000 0.000
Au1 Au 0.250 0.250 0.750
Se1 Se 0.250 0.250 0.250
```



# 2
# PAu2Se

An optimized crystal structure of PAu2Se (PBE, Alexandria via LeMat-Bulk).

Results
Uncorrected formation energy = 572 meV per atom
Fermi-level density of states = 0.7489 states/eV per atom
Total magnetic moment = 0.0 μB per formula unit
Crystal system = cubic
Final energy = -3.290 eV per atom
Energy above the lowest structure with this stoichiometry = 430 meV per atom

Geometry as CIF:
```
data_PAu2Se
_cell_length_a 6.643
_cell_length_b 6.643
_cell_length_c 6.643
_cell_angle_alpha 90.00
_cell_angle_beta 90.00
_cell_angle_gamma 90.00
_space_group_name_H-M_alt 'F m -3 m'
_space_group_IT_number 225
_space_group_name_Hall '-F 4 2 3'
loop_
_atom_site_label
_atom_site_type_symbol
_atom_site_fract_x
_atom_site_fract_y
_atom_site_fract_z
P1 P 0.000 0.000 0.000
Au1 Au 0.250 0.250 0.250
Se1 Se 0.000 0.000 0.500
```



# 3
# PAu4Se

An optimized crystal structure of PAu4Se (PBE, Alexandria via LeMat-Bulk).

Results
Uncorrected formation energy = 534 meV per atom
Fermi-level density of states = 0.5489 states/eV per atom
Total magnetic moment = 0.0 μB per formula unit
Crystal system = cubic
Final energy = -3.134 eV per atom

Geometry as CIF:
```
data_PAu4Se
_cell_length_a 7.806
_cell_length_b 7.806
_cell_length_c 7.806
_cell_angle_alpha 90.00
_cell_angle_beta 90.00
_cell_angle_gamma 90.00
_space_group_name_H-M_alt 'F -4 3 m'
_space_group_IT_number 216
_space_group_name_Hall 'F -4 2 3'
loop_
_atom_site_label
_atom_site_type_symbol
_atom_site_fract_x
_atom_site_fract_y
_atom_site_fract_z
P1 P 0.000 0.000 0.000
Au1 Au 0.125 0.125 0.375
Se1 Se 0.250 0.250 0.750
```



# 4
# P2AuSe

An optimized crystal structure of P2AuSe (PBE, Alexandria via LeMat-Bulk).

Results
Uncorrected formation energy = 177 meV per atom
Fermi-level density of states = 0.3884 states/eV per atom
Total magnetic moment = 0.0 μB per formula unit
Crystal system = tetragonal
Final energy = -4.218 eV per atom

Geometry as CIF:
```
data_P2AuSe
_cell_length_a 3.458
_cell_length_b 3.458
_cell_length_c 6.513
_cell_angle_alpha 90.00
_cell_angle_beta 90.00
_cell_angle_gamma 90.00
_space_group_name_H-M_alt 'P 4 m m'
_space_group_IT_number 99
loop_
_space_group_symop_operation_xyz
'x,y,z'
'-y,x,z'
'-x,-y,z'
'y,-x,z'
'-x,y,z'
'y,x,z'
'x,-y,z'
'-y,-x,z'
loop_
_atom_site_label
_atom_site_type_symbol
_atom_site_fract_x
_atom_site_fract_y
_atom_site_fract_z
P1 P 0.000 0.000 0.000
P2 P 0.500 0.500 0.068
Au1 Au 0.000 0.000 0.640
Se1 Se 0.500 0.500 0.421
```



# 5
# PAuSe2

An optimized crystal structure of PAuSe2 (PBE, Alexandria via LeMat-Bulk).

Results
Uncorrected formation energy = 482 meV per atom
Fermi-level density of states = 0.9062 states/eV per atom
Total magnetic moment = 0.7 μB per formula unit
Crystal system = orthorhombic
Final energy = -3.432 eV per atom

Geometry as CIF:
```
data_PAuSe2
_cell_length_a 3.598
_cell_length_b 3.654
_cell_length_c 8.090
_cell_angle_alpha 90.00
_cell_angle_beta 90.00
_cell_angle_gamma 90.00
_space_group_name_H-M_alt 'P m m m'
_space_group_IT_number 47
loop_
_space_group_symop_operation_xyz
'x,y,z'
'-x,-y,-z'
'-x,-y,z'
'x,y,-z'
'x,-y,-z'
'-x,y,z'
'-x,y,-z'
'x,-y,z'
loop_
_atom_site_label
_atom_site_type_symbol
_atom_site_fract_x
_atom_site_fract_y
_atom_site_fract_z
P1 P 0.000 0.000 0.000
Au1 Au 0.500 0.500 0.000
Se1 Se 0.000 0.500 0.500
Se2 Se 0.500 0.000 0.500
```



# 6
# P2AuSe

An optimized crystal structure of P2AuSe (PBE, Alexandria via LeMat-Bulk).

Results
Uncorrected formation energy = 662 meV per atom
Fermi-level density of states = 0.4567 states/eV per atom
Total magnetic moment = 0.0 μB per formula unit
Crystal system = tetragonal
Final energy = -3.733 eV per atom

Geometry as CIF:
```
data_P2AuSe
_cell_length_a 5.197
_cell_length_b 5.197
_cell_length_c 2.651
_cell_angle_alpha 90.00
_cell_angle_beta 90.00
_cell_angle_gamma 90.00
_space_group_name_H-M_alt 'P 4/m m m'
_space_group_IT_number 123
_space_group_name_Hall '-P 4 2'
loop_
_atom_site_label
_atom_site_type_symbol
_atom_site_fract_x
_atom_site_fract_y
_atom_site_fract_z
P1 P 0.000 0.500 0.000
Au1 Au 0.000 0.000 0.500
Se1 Se 0.500 0.500 0.500
```



> Look up the total magnetic moment of the second one.

0.0 μB per formula unit